1.
First-principles (PBEsol) data for an optimized crystal structure of MnCo, as listed in the Alexandria database.

Cell: 2.7613 3.9450 4.6495 Å, 115.10 107.27 90.00°
Closest atoms and distances in Å follow each position.
Sites, in units of the cell vectors:
Mn 0.3744 0.1244 0.7488  6 Co 2.41, 2 Mn 2.41
Mn 0.6256 0.8756 0.2512  6 Co 2.41, 2 Mn 2.41
Co 0.8774 0.6274 0.7547  6 Mn 2.41, 2 Co 2.45
Co 0.1226 0.3726 0.2453  6 Mn 2.41, 2 Co 2.45

Calculated values
Its space group is Imma (74). Its formation energy is 0.145 eV/atom. As for the density of states at the Fermi level: 4.826 states/eV per cell.



2.
First-principles (PBEsol) data for an optimized crystal structure of RbInSe2N, as listed in the Alexandria database.

Cell: 5.1733 6.0351 6.0351 Å, 90.00 90.00 90.00°
Closest atoms and distances in Å follow each position.
Sites, in units of the cell vectors:
N 0.5000 0.0000 0.0000  2 Rb 2.59
Se 0.0000 0.0000 0.5000  2 Rb 3.02
Se 0.0000 0.5000 0.0000  2 Rb 3.02
Rb 0.0000 0.0000 0.0000  2 N 2.59
In 0.5000 0.5000 0.5000  8 Se 3.97, 4 N 4.27

Calculated values
Its space group is P4/mmm (123). As for the density of states at the Fermi level: 4.850 states/eV per cell. As for the energy relative to the elements, uncorrected: 668 kJ/mol of formula units.



3.
First-principles (PBEsol) data for an optimized crystal structure of In2O3, as listed in the Alexandria database.

Cell: 8.8075 8.8075 8.8075 Å, 109.47 109.47 109.47°
Closest atoms and distances in Å follow each position.
Sites, in units of the cell vectors:
In 0.9661 0.7500 0.7161  6 O 2.14-2.23
In 0.0339 0.2500 0.2839  6 O 2.14-2.23
In 0.5339 0.2500 0.7839  6 O 2.14-2.23
In 0.0000 0.5000 0.0000  6 O 2.19
In 0.7500 0.2161 0.4661  6 O 2.14-2.23
In 0.2161 0.9661 0.2500  6 O 2.14-2.23
In 0.7161 0.4661 0.2500  6 O 2.14-2.23
In 0.7839 0.0339 0.7500  6 O 2.14-2.23
In 0.2500 0.7839 0.5339  6 O 2.14-2.23
In 0.0000 0.0000 0.5000  6 O 2.19
In 0.2500 0.2839 0.0339  6 O 2.14-2.23
In 0.7500 0.7161 0.9661  6 O 2.14-2.23
In 0.2839 0.5339 0.7500  6 O 2.14-2.23
In 0.4661 0.7500 0.2161  6 O 2.14-2.23
In 0.5000 0.5000 0.5000  6 O 2.19
In 0.5000 0.0000 0.0000  6 O 2.19
O 0.4635 0.0080 0.2356  4 In 2.14-2.23
O 0.7356 0.4635 0.5080  4 In 2.14-2.23
O 0.9555 0.9635 0.2279  4 In 2.14-2.23
O 0.9920 0.2644 0.0365  4 In 2.14-2.23
O 0.2276 0.4920 0.9555  4 In 2.14-2.23
O 0.5445 0.7724 0.0080  4 In 2.14-2.23
O 0.5080 0.5445 0.2724  4 In 2.14-2.23
O 0.7644 0.2724 0.7279  4 In 2.14-2.23
O 0.0445 0.0365 0.7721  4 In 2.14-2.23
O 0.2356 0.7276 0.2721  4 In 2.14-2.23
O 0.0365 0.2721 0.5445  4 In 2.14-2.23
O 0.2279 0.7644 0.7724  4 In 2.14-2.23
O 0.2724 0.2279 0.2644  4 In 2.14-2.23
O 0.7276 0.7721 0.7356  4 In 2.14-2.23
O 0.9635 0.7279 0.4555  4 In 2.14-2.23
O 0.2644 0.5365 0.4920  4 In 2.14-2.23
O 0.4555 0.2276 0.9920  4 In 2.14-2.23
O 0.2721 0.0445 0.5365  4 In 2.14-2.23
O 0.5365 0.9920 0.7644  4 In 2.14-2.23
O 0.4920 0.4555 0.7276  4 In 2.14-2.23
O 0.7721 0.2356 0.2276  4 In 2.14-2.23
O 0.7724 0.5080 0.0445  4 In 2.14-2.23
O 0.7279 0.9555 0.4635  4 In 2.14-2.23
O 0.0080 0.7356 0.9635  4 In 2.14-2.23

Calculated values
Its space group is Ia-3 (206). As for the energy relative to the elements, uncorrected: -782 kJ/mol of formula units.



Number 1: VASP energy -8.6040 eV/atom. Number 2: VASP energy -2.6619 eV/atom. Number 3: VASP energy -5.9633 eV/atom.